# 1
Here is a PBEsol-optimized structure of Sc2Ni2Sn from Alexandria. Energies are from meta-GGA SCAN.

Calculated values
Spin magnetization ... 0.00 μB/atom
ΔH_f (0 K) ... -659 meV per atom

abc: 7.065 7.065 3.285
angles: 90.00 90.00 90.00
Space group P4/mbm (No. 127)
Symmetry-distinct sites (fractional):
Sc (0.169, 0.331, 0.000) x4
Ni (0.124, 0.624, 0.500) x4
Sn (0.000, 0.000, 0.500) x2


# 2
Here is a PBEsol-optimized structure of BaZnTeCl2O3 from Alexandria. Energies are from meta-GGA SCAN.

Calculated values
Spin magnetization ... 0.00 μB/atom
Formation energy without anion corrections ... -1903 meV per atom

abc: 12.207 5.598 19.374
angles: 90.00 90.00 90.00
Space group Pnma (No. 62)
Symmetry-distinct sites (fractional):
Ba (0.061, 0.250, 0.209) x4
Ba (0.160, 0.250, 0.667) x4
Zn (0.021, 0.250, 0.406) x4
Zn (0.071, 0.750, 0.073) x4
Te (0.151, 0.750, 0.336) x4
Te (0.230, 0.250, 0.046) x4
Cl (0.054, 0.750, 0.958) x4
Cl (0.061, 0.250, 0.845) x4
Cl (0.135, 0.250, 0.495) x4
Cl (0.193, 0.750, 0.761) x4
O (0.043, 0.505, 0.338) x8
O (0.136, 0.750, 0.592) x4
O (0.163, 0.750, 0.241) x4
O (0.173, 0.005, 0.103) x8


# 3
Here is a PBEsol-optimized structure of K2SrMoOs from Alexandria. Energies are from meta-GGA SCAN.

Calculated values
Spin magnetization ... 1.27 μB/atom
ΔH_f (0 K) ... 2281 meV per atom

abc: 5.798 5.798 5.863
angles: 90.00 90.00 90.00
Space group P4/mmm (No. 123)
Symmetry-distinct sites (fractional):
K (0.000, 0.500, 0.000) x2
Sr (0.000, 0.000, 0.500) x1
Mo (0.000, 0.000, 0.000) x1
Os (0.500, 0.500, 0.500) x1


# 4
Here is a PBEsol-optimized structure of Pm2PdRh from Alexandria. Energies are from meta-GGA SCAN.

Calculated values
Spin magnetization ... 0.00 μB/atom
ΔH_f (0 K) ... -834 meV per atom

abc: 6.989 6.989 6.989
angles: 90.00 90.00 90.00
Space group Fm-3m (No. 225)
Symmetry-distinct sites (fractional):
Pm (0.250, 0.250, 0.250) x8
Pd (0.000, 0.000, 0.000) x4
Rh (0.000, 0.000, 0.500) x4


# 5
Here is a PBEsol-optimized structure of Rb2AlTlBr6 from Alexandria. Energies are from meta-GGA SCAN.

Calculated values
Spin magnetization ... 0.00 μB/atom
Formation energy without anion corrections ... -1432 meV per atom

abc: 11.123 11.123 11.123
angles: 90.00 90.00 90.00
Space group Fm-3m (No. 225)
Symmetry-distinct sites (fractional):
Rb (0.250, 0.250, 0.250) x8
Al (0.000, 0.000, 0.000) x4
Tl (0.000, 0.000, 0.500) x4
Br (0.000, 0.000, 0.225) x24


# 6
Here is a PBEsol-optimized structure of NiGeMo2Br from Alexandria. Energies are from meta-GGA SCAN.

Calculated values
Spin magnetization ... 0.64 μB/atom
Formation energy without anion corrections ... 2110 meV per atom

abc: 4.518 4.518 4.948
angles: 90.00 90.00 90.00
Space group P4/mmm (No. 123)
Symmetry-distinct sites (fractional):
Ni (0.000, 0.000, 0.000) x1
Ge (0.500, 0.500, 0.000) x1
Mo (0.000, 0.500, 0.500) x2
Br (0.500, 0.500, 0.500) x1


# 7
Here is a PBEsol-optimized structure of KTa3Te2O12 from Alexandria. Energies are from meta-GGA SCAN.

Calculated values
Spin magnetization ... 0.00 μB/atom
Formation energy without anion corrections ... -2388 meV per atom

abc: 3.919 15.042 17.439
angles: 90.00 90.00 90.00
Space group Pbcm (No. 57)
Symmetry-distinct sites (fractional):
K (0.220, 0.069, 0.250) x4
Ta (0.256, 0.650, 0.070) x8
Ta (0.259, 0.705, 0.750) x4
Te (0.370, 0.086, 0.596) x8
O (0.220, 0.196, 0.750) x4
O (0.223, 0.144, 0.065) x8
O (0.276, 0.565, 0.523) x8
O (0.286, 0.604, 0.672) x8
O (0.286, 0.707, 0.168) x8
O (0.290, 0.750, 0.000) x4
O (0.294, 0.532, 0.131) x8


# 8
Here is a PBEsol-optimized structure of Li3Cu4NiO8 from Alexandria. Energies are from meta-GGA SCAN.

Calculated values
Spin magnetization ... 0.06 μB/atom
Formation energy without anion corrections ... -1235 meV per atom

abc: 10.557 5.606 5.413
angles: 90.00 115.31 90.00
Space group C2/m (No. 12)
Symmetry-distinct sites (fractional):
Li (0.000, 0.000, 0.000) x2
Li (0.250, 0.250, 0.500) x4
Cu (0.000, 0.000, 0.500) x2
Cu (0.000, 0.500, 0.000) x2
Cu (0.250, 0.250, 0.000) x4
Ni (0.000, 0.500, 0.500) x2
O (0.037, 0.272, 0.282) x8
O (0.196, 0.000, 0.742) x4
O (0.198, 0.500, 0.739) x4